1.
Crystalline Pa3GaB at its relaxed geometry. Source: Alexandria via LeMat-Bulk, functional PBE.

Calculated values
formation energy from the elements: -0.11 eV per formula unit
Fermi-level density of states: 9.1 states/eV/cell
total moment: 0.00 μB/f.u.

abc: 4.820 4.820 4.820
angles: 90.00 90.00 90.00
Element x y z (fractional)
Pa 0.000 0.000 0.500
Pa 0.000 0.500 0.000
Pa 0.500 0.000 0.000
Ga 0.500 0.500 0.500
B 0.000 0.000 0.000

=====

2.
Crystalline Tl2OsAu at its relaxed geometry. Source: Alexandria via LeMat-Bulk, functional PBE.

Calculated values
polymorph energy (0 for the lowest one): 99.7 meV per atom
formation energy from the elements: 2.82 eV per formula unit
Fermi-level density of states: 3.8 states/eV/cell
total moment: 1.37 μB/f.u.

abc: 3.057 3.057 9.454
angles: 90.00 90.00 90.00
Element x y z (fractional)
Tl 0.000 0.000 0.000
Tl 0.500 0.500 0.323
Os 0.500 0.500 0.774
Au 0.000 0.000 0.586

=====

3.
Crystalline LaEr2Cd at its relaxed geometry. Source: Alexandria via LeMat-Bulk, functional PBE.

Calculated values
polymorph energy (0 for the lowest one): 64.0 meV per atom
formation energy from the elements: -0.32 eV per formula unit
Fermi-level density of states: 5.9 states/eV/cell
total moment: 0.29 μB/f.u.

abc: 4.896 4.896 4.927
angles: 90.00 90.00 90.00
Element x y z (fractional)
La 0.000 0.000 0.000
Er 0.000 0.500 0.500
Er 0.500 0.000 0.500
Cd 0.500 0.500 0.000

=====

4.
Crystalline CrFeRh2 at its relaxed geometry. Source: Alexandria via LeMat-Bulk, functional PBE.

Calculated values
formation energy from the elements: 1.66 eV per formula unit
Fermi-level density of states: 11.0 states/eV/cell
total moment: 0.27 μB/f.u.

abc: 8.910 8.910 8.910
angles: 155.93 155.93 34.30
Element x y z (fractional)
Cr 0.000 0.000 0.000
Cr 0.750 0.250 0.500
Fe 0.250 0.750 0.500
Fe 0.500 0.500 0.000
Rh 0.128 0.625 0.003
Rh 0.375 0.378 0.503
Rh 0.622 0.125 0.997
Rh 0.875 0.872 0.497

=====

Repeat the first record exactly.
Crystalline Pa3GaB at its relaxed geometry. Source: Alexandria via LeMat-Bulk, functional PBE.

Calculated values
formation energy from the elements: -0.11 eV per formula unit
Fermi-level density of states: 9.1 states/eV/cell
total moment: 0.00 μB/f.u.

abc: 4.820 4.820 4.820
angles: 90.00 90.00 90.00
Element x y z (fractional)
Pa 0.000 0.000 0.500
Pa 0.000 0.500 0.000
Pa 0.500 0.000 0.000
Ga 0.500 0.500 0.500
B 0.000 0.000 0.000

=====

Copy entry 2 word for word.
Crystalline Tl2OsAu at its relaxed geometry. Source: Alexandria via LeMat-Bulk, functional PBE.

Calculated values
polymorph energy (0 for the lowest one): 99.7 meV per atom
formation energy from the elements: 2.82 eV per formula unit
Fermi-level density of states: 3.8 states/eV/cell
total moment: 1.37 μB/f.u.

abc: 3.057 3.057 9.454
angles: 90.00 90.00 90.00
Element x y z (fractional)
Tl 0.000 0.000 0.000
Tl 0.500 0.500 0.323
Os 0.500 0.500 0.774
Au 0.000 0.000 0.586

=====

- Number 3 is which compound?
  LaEr2Cd

=====

- What is the Fermi-level density of states in the fourth record?
  11.0 states/eV/cell